Entry 1:
Material: ScMoOs
Method: DFT, PBE
State: optimized geometry

The structure in POSCAR format:
```
ScMoOs
1.0
-0.5268 1.3671 5.2017
-4.0695 -2.1694 0.1580
4.1388 -7.9883 -3.0830
Os Sc Mo
4 4 4
Cartesian
2.5991 -4.9014 -0.3558
-1.5050 -1.9920 1.2647
1.0475 -6.7986 1.0120
1.0129 -1.7197 2.4745
1.3483 -7.5516 -1.5802
-1.8058 -1.2390 3.8569
1.3136 -2.4727 -0.1177
2.2984 -4.1485 2.2364
-0.2634 0.6835 2.6009
-0.2287 -4.3953 1.1383
0.0000 0.0000 0.0000
0.0347 -5.0788 -1.4625
```

ΔE_f = -0.047 eV/atom
Fermi-level density of states = 12.3 states/eV/cell


Entry 2:
Material: ScMoOsSe2
Method: DFT, PBE
State: optimized geometry

The structure in POSCAR format:
```
ScMoOsSe2
1.0
-4.6974 1.2780 -0.0951
-0.7518 -2.4664 3.9891
1.0239 3.9601 2.6414
Os Se Mo Sc
1 2 1 1
Cartesian
-0.3759 -1.2332 1.9946
-2.3487 0.6390 -0.0476
0.5119 1.9801 1.3207
-2.2127 1.3859 3.2677
0.0000 0.0000 0.0000
```

Fermi-level density of states = 7.9 states/eV/cell
Formation energy without anion corrections = 1407.2 meV per atom


Entry 3:
Material: SrSc2MoOs
Method: DFT, PBE
State: optimized geometry

The structure in POSCAR format:
```
SrSc2MoOs
1.0
4.8854 0.0000 0.0000
0.0000 5.3208 0.0000
0.0000 0.0000 4.8854
Sr Sc Mo Os
1 2 1 1
Cartesian
0.0000 2.6604 0.0000
0.0000 0.0000 2.4427
2.4427 0.0000 0.0000
0.0000 0.0000 0.0000
2.4427 2.6604 2.4427
```

ΔE_f = 1.386 eV/atom
Fermi-level density of states = 6.8 states/eV/cell


The uncorrected energy results, record by record, are as follows: -9.5116, -5.6651, -5.8948 eV/atom.
The spin magnetization results, record by record, are as follows: 0.00, 0.15, 1.32 μB/cell.